A plane-wave DFT calculation with PBE with a Hubbard U was carried out for an optimized crystal structure of TiPbWF2.

a b c (Å): 4.155 4.155 6.155
angles (deg): 90.00 90.00 90.00
Fractional positions:
Ti  0.000  0.000  0.000
Pb  0.500  0.500  0.000
W  0.000  0.000  0.500
F  0.000  0.500  0.500
F  0.500  0.000  0.500

Values from the calculation:
- E_tot (eV for the cell shown) = -26.360
- ρ (g cm⁻³) = 7.45